TaPt | PBE-GGA | optimized geometry

Computed properties:
Energy of formation from the pure elements ... -53 kJ/mol of formula units
V ... 17.02 Å³/atom
DOS(E_F) ... 4.4 states/eV per cell
Total magnetic moment ... 0.0 μB/f.u.
Calculated total energy ... -9.219 eV/atom

Cell: 2.8851 2.8851 9.4439 Å, 90.00 90.00 120.00°
Fractional positions:
Pt  0.0000  0.0000  0.9960
Pt  0.3333  0.6667  0.2540
Ta  0.0000  0.0000  0.4878
Ta  0.3333  0.6667  0.7622

TaPt | PBE-GGA | optimized geometry

Computed properties:
Energy of formation from the pure elements ... -73 kJ/mol of formula units
V ... 16.68 Å³/atom
DOS(E_F) ... 1.7 states/eV per cell
Total magnetic moment ... 0.0 μB/f.u.
Calculated total energy ... -9.325 eV/atom

Cell: 4.9936 4.9936 4.9936 Å, 33.27 33.27 33.27°
Fractional positions:
Ta  0.5000  0.5000  0.5000
Pt  0.0000  0.0000  0.0000

Ta2Pt | PBE-GGA | optimized geometry

Computed properties:
Energy of formation from the pure elements ... -101 kJ/mol of formula units
V ... 17.41 Å³/atom
DOS(E_F) ... 5.8 states/eV per cell
Total magnetic moment ... 0.0 μB/f.u.
Calculated total energy ... -10.263 eV/atom

Cell: 4.7114 4.7114 5.4334 Å, 90.00 90.00 120.00°
Fractional positions:
Ta  0.0000  0.0000  0.5000
Ta  0.3333  0.6667  0.7500
Ta  0.6667  0.3333  0.2500
Ta  0.0000  0.0000  0.0000
Pt  0.3333  0.6667  0.2500
Pt  0.6667  0.3333  0.7500

TaPt | PBE-GGA | optimized geometry

Computed properties:
Energy of formation from the pure elements ... -82 kJ/mol of formula units
V ... 17.30 Å³/atom
DOS(E_F) ... 9.3 states/eV per cell
Total magnetic moment ... 0.0 μB/f.u.
Calculated total energy ... -9.372 eV/atom

Cell: 5.1727 5.1727 5.1727 Å, 90.00 90.00 90.00°
Fractional positions:
Pt  0.6005  0.8995  0.1005
Pt  0.8995  0.1005  0.6005
Pt  0.3995  0.3995  0.3995
Pt  0.1005  0.6005  0.8995
Ta  0.0977  0.0977  0.0977
Ta  0.4023  0.9023  0.5977
Ta  0.5977  0.4023  0.9023
Ta  0.9023  0.5977  0.4023